## HfHgAsOs2 (PBE-GGA)

Data for HfHgAsOs2 after structural relaxation.

abc: 4.5388 4.5388 4.9633
angles: 90.00 90.00 90.00
Space group P4/mmm (No. 123)
Asymmetric unit:
Hf1 0.0000 0.0000 0.0000 (multiplicity 1)
Hg1 0.5000 0.5000 0.0000 (multiplicity 1)
As1 0.5000 0.5000 0.5000 (multiplicity 1)
Os1 0.0000 0.5000 0.5000 (multiplicity 2)



## HfTa2HgAs (PBE-GGA)

Data for HfTa2HgAs after structural relaxation.

abc: 4.9745 4.9745 5.3139
angles: 90.00 90.00 90.00
Space group P4/mmm (No. 123)
Asymmetric unit:
Hf1 0.0000 0.0000 0.0000 (multiplicity 1)
Ta1 0.0000 0.5000 0.0000 (multiplicity 2)
Hg1 0.0000 0.0000 0.5000 (multiplicity 1)
As1 0.5000 0.5000 0.5000 (multiplicity 1)



no.,DFT total energy (Ry/atom)
1,-0.4678
2,-0.4369